[1]
First-principles (PBE-GGA) data for a relaxed structure of GdCd2Au, as listed in Alexandria via LeMat-Bulk.

## Properties
Its space group is R-3m, No. 166. The energy relative to the elements comes out at 0.1206 eV per atom.

Cell lengths 11.010, 11.010, 11.010 Å; angles 16.86, 16.86, 16.86 degrees
Fractional positions:
1 Gd 0.000 0.000 0.000
2 Cd 0.097 0.097 0.097
3 Cd 0.903 0.903 0.903
4 Au 0.500 0.500 0.500

[2]
First-principles (PBE-GGA) data for a relaxed structure of LiPa2H8, as listed in Alexandria via LeMat-Bulk.

## Properties
The value obtained for the total energy is -4.663 eV per atom. Its space group is Immm, No. 71.

Cell lengths 6.272, 6.272, 6.272 Å; angles 145.00, 135.16, 58.11 degrees
Fractional positions:
1 Li 0.000 0.000 0.000
2 Pa 0.328 0.328 0.000
3 Pa 0.672 0.672 0.000
4 H 0.097 0.852 0.245
5 H 0.195 0.695 0.500
6 H 0.262 0.500 0.762
7 H 0.392 0.148 0.245
8 H 0.608 0.852 0.755
9 H 0.738 0.500 0.238
10 H 0.805 0.305 0.500
11 H 0.903 0.148 0.755

[3]
First-principles (PBE-GGA) data for a relaxed structure of PO, as listed in Alexandria via LeMat-Bulk.

## Properties
The value obtained for the total energy is -6.141 eV per atom. Its space group is Pmn2_1, No. 31.

Cell lengths 9.126, 5.410, 3.655 Å; angles 90.00, 90.00, 90.00 degrees
Fractional positions:
1 P 0.000 0.140 0.000
2 P 0.217 0.628 0.788
3 P 0.283 0.372 0.288
4 P 0.500 0.860 0.500
5 P 0.717 0.372 0.288
6 P 0.783 0.628 0.788
7 O 0.000 0.399 0.816
8 O 0.150 0.164 0.278
9 O 0.350 0.836 0.778
10 O 0.500 0.601 0.316
11 O 0.650 0.836 0.778
12 O 0.850 0.164 0.278